Record 1
The following is a PBE calculation of Hf2MnV after structural relaxation, from Alexandria via LeMat-Bulk.

POSCAR file:
```
Hf2MnV
1.0
7.092 0.000 0.000
0.000 7.092 0.000
0.000 0.000 5.666
Hf Mn V
8 4 4
Direct
0.229 0.250 0.125
0.250 0.729 0.375
0.250 0.771 0.875
0.271 0.250 0.625
0.729 0.750 0.625
0.750 0.229 0.875
0.750 0.271 0.375
0.771 0.750 0.125
0.000 0.000 0.000
0.000 0.500 0.250
0.500 0.000 0.750
0.500 0.500 0.500
0.000 0.000 0.500
0.000 0.500 0.750
0.500 0.000 0.250
0.500 0.500 0.000
```

ρ ... 10.786 g/cm3
Total DFT energy (no corrections) ... -8.957 eV per atom
Energy of formation from the pure elements ... 0.59 eV/atom
Total moment ... 7.01 μB per cell
Symmetry ... No. 122

Record 2
The following is a PBE calculation of Hf2MnV after structural relaxation, from Alexandria via LeMat-Bulk.

POSCAR file:
```
Hf2MnV
1.0
4.586 0.000 0.000
0.000 4.586 0.000
0.000 0.000 3.237
Hf Mn V
2 1 1
Direct
0.000 0.500 0.000
0.500 0.000 0.000
0.000 0.000 0.500
0.500 0.500 0.500
```

ρ ... 11.289 g/cm3
Total DFT energy (no corrections) ... -9.513 eV per atom
Energy of formation from the pure elements ... 0.04 eV/atom
Total moment ... 1.69 μB per cell
Symmetry ... No. 123

Record 3
The following is a PBE calculation of HfMnV3 after structural relaxation, from Alexandria via LeMat-Bulk.

POSCAR file:
```
HfMnV3
1.0
4.343 0.000 0.000
0.000 4.343 0.000
0.000 0.000 4.343
Hf Mn V
1 1 3
Direct
0.000 0.000 0.000
0.500 0.500 0.500
0.000 0.500 0.500
0.500 0.000 0.500
0.500 0.500 0.000
```

ρ ... 7.830 g/cm3
Total DFT energy (no corrections) ... -8.783 eV per atom
Energy of formation from the pure elements ... 0.51 eV/atom
Total moment ... 0.01 μB per cell
Symmetry ... No. 221

Record 4
The following is a PBE calculation of HfMn5V4 after structural relaxation, from Alexandria via LeMat-Bulk.

POSCAR file:
```
HfMn5V4
1.0
2.924 0.000 0.000
0.000 2.924 0.000
0.000 0.000 14.784
Hf Mn V
1 5 4
Direct
0.000 0.000 0.000
0.500 0.500 0.118
0.500 0.500 0.308
0.500 0.500 0.500
0.500 0.500 0.692
0.500 0.500 0.882
0.000 0.000 0.208
0.000 0.000 0.403
0.000 0.000 0.597
0.000 0.000 0.792
```

ρ ... 8.628 g/cm3
Total DFT energy (no corrections) ... -9.442 eV per atom
Energy of formation from the pure elements ... -0.21 eV/atom
Total moment ... 0.52 μB per cell
Symmetry ... No. 123

Record 5
The following is a PBE calculation of HfMn2V after structural relaxation, from Alexandria via LeMat-Bulk.

POSCAR file:
```
HfMn2V
1.0
4.273 0.000 0.000
0.000 4.273 0.000
0.000 0.000 3.044
Hf Mn V
1 2 1
Direct
0.000 0.000 0.000
0.000 0.500 0.500
0.500 0.000 0.500
0.500 0.500 0.000
```

ρ ... 10.138 g/cm3
Total DFT energy (no corrections) ... -9.456 eV per atom
Energy of formation from the pure elements ... -0.10 eV/atom
Total moment ... 0.56 μB per cell
Symmetry ... No. 123

Record 6
The following is a PBE calculation of HfMn2V after structural relaxation, from Alexandria via LeMat-Bulk.

POSCAR file:
```
HfMn2V
1.0
4.263 0.000 0.000
0.000 4.263 0.000
0.000 0.000 15.226
Hf Mn V
4 8 4
Direct
0.000 0.250 0.375
0.000 0.750 0.625
0.500 0.250 0.125
0.500 0.750 0.875
0.000 0.000 0.000
0.000 0.500 0.000
0.250 0.250 0.750
0.250 0.750 0.250
0.500 0.000 0.500
0.500 0.500 0.500
0.750 0.250 0.750
0.750 0.750 0.250
0.000 0.250 0.875
0.000 0.750 0.125
0.500 0.250 0.625
0.500 0.750 0.375
```

ρ ... 8.143 g/cm3
Total DFT energy (no corrections) ... -8.625 eV per atom
Energy of formation from the pure elements ... 0.73 eV/atom
Total moment ... 0.00 μB per cell
Symmetry ... No. 141

Record 7
The following is a PBE calculation of Hf2MnV3 after structural relaxation, from Alexandria via LeMat-Bulk.

POSCAR file:
```
Hf2MnV3
1.0
2.611 1.507 3.991
-2.611 1.507 3.991
0.000 -3.015 3.991
Hf Mn V
2 1 3
Direct
0.126 0.126 0.126
0.874 0.874 0.874
0.500 0.500 0.500
0.000 0.500 0.500
0.500 0.000 0.500
0.500 0.500 0.000
```

ρ ... 9.951 g/cm3
Total DFT energy (no corrections) ... -9.546 eV per atom
Energy of formation from the pure elements ... -0.14 eV/atom
Total moment ... 0.00 μB per cell
Symmetry ... No. 166

Record 8
The following is a PBE calculation of HfMnVW after structural relaxation, from Alexandria via LeMat-Bulk.

POSCAR file:
```
HfMnVW
1.0
6.229 0.000 0.000
0.000 6.229 0.000
0.000 0.000 6.229
Hf Mn V W
4 4 4 4
Direct
0.000 0.000 0.000
0.000 0.500 0.500
0.500 0.000 0.500
0.500 0.500 0.000
0.250 0.250 0.250
0.250 0.750 0.750
0.750 0.250 0.750
0.750 0.750 0.250
0.250 0.250 0.750
0.250 0.750 0.250
0.750 0.250 0.250
0.750 0.750 0.750
0.000 0.000 0.500
0.000 0.500 0.000
0.500 0.000 0.000
0.500 0.500 0.500
```

ρ ... 12.865 g/cm3
Total DFT energy (no corrections) ... -10.291 eV per atom
Energy of formation from the pure elements ... 0.01 eV/atom
Total moment ... 0.00 μB per cell
Symmetry ... No. 216